Compound: HoGaO3
Source: OQMD via LeMat-Bulk
Functional: GGA-PBE
Structure: relaxed

Lattice parameters (Å, degrees): 5.542 7.536 5.244 90.00 90.00 90.00
Sites, in units of the cell vectors:
Ho 0.069 0.250 0.019
Ho 0.431 0.750 0.519
Ho 0.569 0.250 0.481
Ho 0.931 0.750 0.981
Ga 0.000 0.000 0.500
Ga 0.000 0.500 0.500
Ga 0.500 0.000 0.000
Ga 0.500 0.500 0.000
O 0.038 0.750 0.388
O 0.195 0.557 0.808
O 0.195 0.943 0.808
O 0.305 0.057 0.308
O 0.305 0.443 0.308
O 0.462 0.250 0.888
O 0.538 0.750 0.112
O 0.695 0.557 0.692
O 0.695 0.943 0.692
O 0.805 0.057 0.192
O 0.805 0.443 0.192
O 0.962 0.250 0.612

Density: 8.57 g cm⁻³
VASP energy: -0.53020 Ry per atom